1.
Entry from Alexandria via LeMat-Bulk: a crystal of SbMo2P relaxed with PBEsol (meta-GGA SCAN).

**Formation energy (no corrections)**: -0.008 eV/atom
**E above lowest polymorph**: 0.4 kJ/mol of atoms
**Symmetry**: R-3m
**Total magnetic moment**: 0.00 μB per atom

a b c (Å): 7.0709 7.0709 7.0709
angles (deg): 28.12 28.12 28.12
Closest atoms and distances in Å follow each position.
Positions (direct):
Sb 0.0000 0.0000 0.0000  6 Mo 2.96
Mo 0.2257 0.2257 0.2257  3 P 2.32
Mo 0.7743 0.7743 0.7743  3 P 2.32
P 0.5000 0.5000 0.5000  6 Mo 2.32



2.
Entry from Alexandria via LeMat-Bulk: a crystal of CrFeMo2 relaxed with PBEsol (meta-GGA SCAN).

**E above lowest polymorph**: 0.0 kJ/mol of atoms
**Calculated formation energy**: 0.1196 eV per atom
**Symmetry**: Cmmm
**Total magnetic moment**: 0.57 μB per atom

a b c (Å): 2.5951 2.5951 8.2795
angles (deg): 90.00 90.00 108.38
Closest atoms and distances in Å follow each position.
Positions (direct):
Cr 0.0000 0.0000 0.0000  4 Mo 2.57, 4 Cr 2.60
Fe 0.0000 0.0000 0.5000  4 Mo 2.56, 4 Fe 2.60
Mo 0.5000 0.5000 0.2511  2 Fe 2.56, 2 Cr 2.57, 4 Mo 2.60
Mo 0.5000 0.5000 0.7489  2 Fe 2.56, 2 Cr 2.57, 4 Mo 2.60



3.
Entry from Alexandria via LeMat-Bulk: a crystal of ZnCu relaxed with PBEsol (meta-GGA SCAN).

**Calculated formation energy**: -0.0613 eV per atom
**Symmetry**: R-3m
**Total magnetic moment**: 0.00 μB per atom

a b c (Å): 4.4148 4.4148 4.4148
angles (deg): 34.56 34.56 34.56
Closest atoms and distances in Å follow each position.
Positions (direct):
Zn 0.0000 0.0000 0.0000  6 Cu 2.57, 6 Zn 2.62
Cu 0.5000 0.5000 0.5000  6 Zn 2.57, 6 Cu 2.62



4.
Entry from Alexandria via LeMat-Bulk: a crystal of LaAs2 relaxed with PBEsol (meta-GGA SCAN).

**Calculated formation energy**: -1.1486 eV per atom
**Symmetry**: I4_1/amd
**Total magnetic moment**: 0.00 μB per atom

a b c (Å): 16.3989 16.3989 16.3989
angles (deg): 165.32 165.32 20.81
Closest atoms and distances in Å follow each position.
Positions (direct):
La 0.3059 0.5559 0.7500  10 As 3.05-3.27
La 0.4441 0.6941 0.7500  10 As 3.05-3.27
La 0.5559 0.3059 0.2500  10 As 3.05-3.27
La 0.6941 0.4441 0.2500  10 As 3.05-3.27
As 0.0219 0.7719 0.2500  2 As 2.53
As 0.1254 0.3754 0.7500  4 As 2.96, 4 La 3.05-3.07
As 0.2281 0.9781 0.2500  2 As 2.53
As 0.3754 0.1254 0.2500  4 As 2.96, 4 La 3.05-3.07
As 0.6246 0.8746 0.7500  4 As 2.96, 4 La 3.05-3.07
As 0.7719 0.0219 0.7500  2 As 2.53
As 0.8746 0.6246 0.2500  4 As 2.96, 4 La 3.05-3.07
As 0.9781 0.2281 0.7500  2 As 2.53



5.
Entry from Alexandria via LeMat-Bulk: a crystal of RbCdP2Cl relaxed with PBEsol (meta-GGA SCAN).

**Formation energy (no corrections)**: 0.004 eV/atom
**Symmetry**: P4/mmm
**Total magnetic moment**: 0.42 μB per atom

a b c (Å): 4.9326 4.9326 5.8749
angles (deg): 90.00 90.00 90.00
Closest atoms and distances in Å follow each position.
Positions (direct):
Rb 0.0000 0.0000 0.0000  4 Cl 3.49, 8 P 3.84
Cd 0.5000 0.5000 0.5000  4 P 2.47
P 0.0000 0.5000 0.5000  2 Cd 2.47
P 0.5000 0.0000 0.5000  2 Cd 2.47
Cl 0.5000 0.5000 0.0000  2 Cd 2.94



6.
Entry from Alexandria via LeMat-Bulk: a crystal of CuAg3 relaxed with PBEsol (meta-GGA SCAN).

**Calculated formation energy**: 0.0671 eV per atom
**Symmetry**: P4/mmm
**Total magnetic moment**: 0.00 μB per atom

a b c (Å): 2.8017 2.8017 7.8065
angles (deg): 90.00 90.00 90.00
Closest atoms and distances in Å follow each position.
Positions (direct):
Cu 0.0000 0.0000 0.0000  8 Ag 2.68, 4 Cu 2.80
Ag 0.0000 0.0000 0.5000  12 Ag 2.80-2.89
Ag 0.5000 0.5000 0.2310  4 Cu 2.68, 8 Ag 2.80-2.89
Ag 0.5000 0.5000 0.7690  4 Cu 2.68, 8 Ag 2.80-2.89



no.,total DFT energy (no corrections) (eV/cell)
1,-117.5
2,-105.8
3,-28.8
4,-347.7
5,-79.9
6,-109.0